Entry from Alexandria: a relaxed structure of Th10Bi3Pb3 (GGA-PBE).

The electronic total energy is -6.407 eV per atom. The value obtained for the size of the total moment is 0.00 Bohr magnetons per cell.

abc: 9.5529 9.5529 6.5013
angles: 90.00 90.00 120.00
Space group P-62m (No. 189)
Symmetry-distinct sites (fractional):
Th: 0.0000 0.2527 0.0000 (multiplicity 3)
Th: 0.0000 0.7468 0.5000 (multiplicity 3)
Th: 0.3333 0.6667 0.2516 (multiplicity 4)
Bi: 0.0000 0.6120 0.0000 (multiplicity 3)
Pb: 0.0000 0.3873 0.5000 (multiplicity 3)


Entry from Alexandria: a relaxed structure of Th7Bi2Pb2 (GGA-PBE).

The electronic total energy is -5.934 eV per atom. The value obtained for the size of the total moment is 0.00 Bohr magnetons per cell.

abc: 9.1788 11.5394 7.3817
angles: 90.00 90.00 90.00
Space group Cmmm (No. 65)
Symmetry-distinct sites (fractional):
Th: 0.0000 0.0000 0.0000 (multiplicity 2)
Th: 0.0000 0.5000 0.2674 (multiplicity 4)
Th: 0.2500 0.2500 0.2876 (multiplicity 8)
Bi: 0.0000 0.2782 0.0000 (multiplicity 4)
Pb: 0.1741 0.0000 0.5000 (multiplicity 4)


Entry from Alexandria: a relaxed structure of Th8Bi5Pb (GGA-PBE).

The electronic total energy is -6.318 eV per atom. The value obtained for the size of the total moment is 0.06 Bohr magnetons per cell.

abc: 9.6838 9.6838 9.6870
angles: 90.00 90.00 90.00
Space group I-4 (No. 82)
Symmetry-distinct sites (fractional):
Th: 0.0721 0.1773 0.1990 (multiplicity 8)
Th: 0.0740 0.3238 0.5500 (multiplicity 8)
Bi: 0.0000 0.0000 0.5000 (multiplicity 2)
Bi: 0.1248 0.2511 0.8748 (multiplicity 8)
Pb: 0.0000 0.5000 0.2500 (multiplicity 2)


Entry from Alexandria: a relaxed structure of Th4Bi3Pb (GGA-PBE).

The electronic total energy is -6.125 eV per atom. The value obtained for the size of the total moment is 0.00 Bohr magnetons per cell.

abc: 7.9659 9.1502 7.9735
angles: 90.00 109.23 90.00
Space group P2/c (No. 13)
Symmetry-distinct sites (fractional):
Th: 0.2454 0.1226 0.0000 (multiplicity 4)
Th: 0.2483 0.3728 0.4979 (multiplicity 4)
Bi: 0.0000 0.3753 0.7500 (multiplicity 2)
Bi: 0.5000 0.1250 0.7500 (multiplicity 2)
Bi: 0.5000 0.3749 0.2500 (multiplicity 2)
Pb: 0.0000 0.1256 0.2500 (multiplicity 2)